Below is crystalline Nb2CoS at its relaxed geometry, with properties calculated at the PBE level.

Energy in eV per formula unit: -31.57
SG: I-42d (122)
Crystal system: tetragonal
Formation energy from raw total energies in kJ/mol of atoms: -4.9

The structure in extended XYZ format:
```
16
Lattice="6.6179 0.0000 0.0000 0.0000 6.6179 0.0000 0.0000 0.0000 5.7668" Properties=species:S:1:pos:R:3 pbc="T T T"
Nb 1.6020 1.6545 0.7209
Nb 1.6545 4.9109 2.1626
Nb 1.6545 5.0160 5.0460
Nb 1.7070 1.6545 3.6043
Nb 4.9109 4.9634 3.6043
Nb 4.9634 1.6020 5.0460
Nb 4.9634 1.7070 2.1626
Nb 5.0160 4.9634 0.7209
Co 0.0000 0.0000 2.8834
Co 0.0000 3.3090 4.3251
Co 3.3090 0.0000 1.4417
Co 3.3090 3.3090 0.0000
S 0.0000 0.0000 0.0000
S 0.0000 3.3090 1.4417
S 3.3090 0.0000 4.3251
S 3.3090 3.3090 2.8834
```